# 1
A relaxed structure of Nd2ZrNpP4, computed with PBE.

The space group is P2/m (No. 10) and the conventional cell measures 6.888, 3.992 and 6.953 Å, with angles of 90.00, 109.16 and 90.00 degrees. Symmetry generates all atoms from Nd at (0.000, 0.000, 0.000), Nd at (0.500, 0.500, 0.000), Zr at (0.000, 0.500, 0.500), Np at (0.500, 0.000, 0.500), P at (0.238, 0.000, 0.727) and P at (0.252, 0.500, 0.271).

The energy relative to the elements is -1.3221 eV/atom. The mass density comes out at 6.8 g/cm3. The value obtained for the density of states at the Fermi level is 1.25 states/eV/atom. As for the total energy: -7.9051 eV/atom.



# 2
A relaxed structure of SrEuHg4, computed with PBE.

The space group is F-43m (No. 216) and the conventional cell measures 8.759, 8.759 and 8.759 Å, with angles of 90.00, 90.00 and 90.00 degrees. Symmetry generates all atoms from Sr at (0.000, 0.000, 0.000), Eu at (0.250, 0.250, 0.750) and Hg at (0.125, 0.125, 0.375).

The energy relative to the elements is -0.3393 eV/atom. The mass density comes out at 10.3 g/cm3. The value obtained for the density of states at the Fermi level is 0.67 states/eV/atom. As for the total energy: -2.5332 eV/atom.



# 3
A relaxed structure of TbCuBr2, computed with PBE.

The space group is R-3m (No. 166, hexagonal axes) and the conventional cell measures 3.8415, 3.8415 and 25.6689 Å, with angles of 90.00, 90.00 and 120.00 degrees. Symmetry generates all atoms from Tb at (0.0000, 0.0000, 0.0000), Cu at (0.0000, 0.0000, 0.5000) and Br at (0.0000, 0.0000, 0.1093).

The mass density comes out at 5.8 g/cm3. The value obtained for the density of states at the Fermi level is 0.21 states/eV/atom. As for the total energy: -3.4878 eV/atom. Its energy relative to the elements, uncorrected is -45.3 kJ/mol of atoms.



# 4
A relaxed structure of TaCo2Ni, computed with PBE.

The space group is I-4m2 (No. 119) and the conventional cell measures 3.639, 3.639 and 7.437 Å, with angles of 90.00, 90.00 and 90.00 degrees. Symmetry generates all atoms from Ta at (0.000, 0.000, 0.000), Co at (0.000, 0.000, 0.500), Co at (0.000, 0.500, 0.250) and Ni at (0.000, 0.500, 0.750).

The energy relative to the elements is -0.2188 eV/atom. The mass density comes out at 12.1 g/cm3. The value obtained for the density of states at the Fermi level is 0.74 states/eV/atom. As for the total energy: -8.1802 eV/atom.



# 5
A relaxed structure of Os2RuBr, computed with PBE.

The space group is P2/m (No. 10) and the conventional cell measures 2.872, 4.148 and 5.341 Å, with angles of 90.00, 104.97 and 90.00 degrees. Symmetry generates all atoms from Os at (0.130, 0.000, 0.245), Ru at (0.500, 0.500, 0.000) and Br at (0.500, 0.500, 0.500).

The mass density comes out at 15.2 g/cm3. The value obtained for the density of states at the Fermi level is 1.16 states/eV/atom. As for the total energy: -7.2731 eV/atom. Its energy relative to the elements, uncorrected is 104.1 kJ/mol of atoms.



# 6
A relaxed structure of AcCeIrAu, computed with PBE.

The space group is R3m (No. 160, hexagonal axes) and the conventional cell measures 4.2129, 4.2129 and 22.2830 Å, with angles of 90.00, 90.00 and 120.00 degrees. Symmetry generates all atoms from Ac at (0.0000, 0.0000, 0.0000), Ce at (0.0000, 0.0000, 0.8117), Ir at (0.0000, 0.0000, 0.4148) and Au at (0.0000, 0.0000, 0.2334).

The energy relative to the elements is -0.7027 eV/atom. The mass density comes out at 11.0 g/cm3. The value obtained for the density of states at the Fermi level is 1.45 states/eV/atom. As for the total energy: -6.2479 eV/atom.



- Among the records above, which one has the highest mass density?
  Os2RuBr